Record 1
Below is an optimized crystal structure of ScCdRe2, with properties calculated at the PBE level.

Values from the calculation:
total moment: 0.0 μB per formula unit
energy: -30.3 eV per cell
space-group type: No. 65
formation enthalpy at 0 K: 1.8 eV/f.u.
crystal system: orthorhombic

Structure (extended XYZ):
```
4
Lattice="5.3235 0.0083 0.0000 -2.3388 4.7823 0.0000 0.0000 0.0000 2.7107" Properties=species:S:1:pos:R:3 pbc="T T T"
Re 0.0000 0.0000 0.0000
Re 1.4924 2.3953 0.0000
Sc 2.6618 0.0041 1.3553
Cd -1.1694 2.3911 1.3553
```

Record 2
Below is an optimized crystal structure of V7Au2N2, with properties calculated at the PBE level.

Values from the calculation:
uncorrected formation energy: -0.25 eV/atom
total moment: 0.3 μB per formula unit
energy: -89.8 eV per cell
space-group type: No. 12
crystal system: monoclinic

Structure (extended XYZ):
```
11
Lattice="5.3947 -0.2488 -0.8346 -0.2710 5.4621 0.2593 -1.1689 0.2449 5.3325" Properties=species:S:1:pos:R:3 pbc="T T T"
V 2.2406 4.5107 2.1329
V 2.5766 1.0662 -0.0543
V 0.0000 0.0000 0.0000
V -0.4867 4.3937 2.8266
V 4.4415 1.0645 1.9306
V 1.7143 0.9475 2.6243
V 1.3782 4.3920 4.8115
Au 0.7465 2.7302 1.0685
Au 3.2083 2.7280 3.6887
N 0.3094 0.3404 3.9436
N 3.6454 5.1178 0.8135
```

Record 3
Below is an optimized crystal structure of La2ScOsPb, with properties calculated at the PBE level.

Values from the calculation:
total moment: 0.0 μB per formula unit
energy: -32.3 eV per cell
space-group type: No. 123
formation enthalpy at 0 K: -1.2 eV/f.u.
crystal system: tetragonal

Structure (extended XYZ):
```
5
Lattice="5.5485 0.0000 0.0000 0.0000 5.5485 0.0000 0.0000 0.0000 5.1101" Properties=species:S:1:pos:R:3 pbc="T T T"
Pb 2.7742 2.7742 2.5551
La 2.7742 0.0000 0.0000
La 0.0000 2.7742 0.0000
Os 0.0000 0.0000 0.0000
Sc 0.0000 0.0000 2.5551
```

Record 4
Below is an optimized crystal structure of CuNiIr, with properties calculated at the PBE level.

Values from the calculation:
total moment: 0.7 μB per formula unit
energy: -18.2 eV per cell
space-group type: No. 42
formation enthalpy at 0 K: 0.6 eV/f.u.
crystal system: orthorhombic

Structure (extended XYZ):
```
3
Lattice="6.8404 0.0044 -0.0028 6.1122 2.5072 0.0128 0.7283 -1.0597 2.2673" Properties=species:S:1:pos:R:3 pbc="T T T"
Ni 8.8466 1.3120 0.7682
Cu 0.7927 -1.0409 2.2554
Ir 4.7699 0.1210 1.5210
```

Record 5
Below is an optimized crystal structure of Sn3OsC, with properties calculated at the PBE level.

Values from the calculation:
total moment: 2.0 μB per formula unit
energy: -25.4 eV per cell
space-group type: No. 221
formation enthalpy at 0 K: 7.0 eV/f.u.
crystal system: cubic

Structure (extended XYZ):
```
5
Lattice="-0.8777 2.2799 -4.4778 0.2184 -4.5240 -2.3462 -5.0201 -0.5955 0.6808" Properties=species:S:1:pos:R:3 pbc="T T T"
C -2.8397 -1.4198 -3.0716
Os 0.0000 0.0000 0.0000
Sn 0.1092 -2.2620 -1.1731
Sn -2.5100 -0.2977 0.3404
Sn -0.4389 1.1399 -2.2389
```

Record 6
Below is an optimized crystal structure of Cs3Ba5F12, with properties calculated at the PBE level.

Values from the calculation:
uncorrected formation energy: -3.29 eV/atom
total moment: 0.0 μB per formula unit
energy: -401.6 eV per cell
space-group type: No. 230
crystal system: cubic

Structure (extended XYZ):
```
80
Lattice="14.5119 0.0000 0.0000 -4.8373 13.6820 0.0000 -4.8373 -6.8410 11.8489" Properties=species:S:1:pos:R:3 pbc="T T T"
F 6.5036 7.7450 6.1588
F -1.2458 8.0939 5.0858
F -5.1342 9.6903 4.4666
F -6.0831 3.7780 8.2210
F 1.6284 -1.6748 10.6254
F 3.6644 5.5881 5.0858
F -4.0850 5.9370 6.1588
F 3.2090 8.5158 1.2236
F 3.1710 1.9593 3.8622
F 5.6276 1.6748 10.6254
F 5.5896 5.7856 9.5524
F -0.7903 5.1662 1.2236
F 0.2968 4.3975 4.7009
F -5.6276 -0.2223 9.7867
F 7.5528 3.9917 4.4666
F 8.4288 -5.0309 10.3911
F -0.7903 8.7381 0.8386
F -4.5405 5.2928 11.6147
F 8.9223 0.9040 5.6902
F 9.9715 -2.8493 7.3823
F 5.6276 -1.8971 11.0103
F 10.9204 3.0630 3.6280
F 0.7523 8.8003 7.9867
F -0.7523 1.0554 2.2965
F -1.1729 5.0309 10.3911
F -1.6284 0.2223 9.7867
F 4.5405 2.4435 7.1481
F -3.1710 7.8964 9.5524
F 6.0102 10.6190 3.6280
F 2.7155 -2.4435 7.1481
F 9.3778 1.5481 0.2343
F -1.1729 -3.7780 8.2210
F 10.4649 7.0633 2.0622
F -3.5915 11.8719 1.4579
F 6.0831 -1.2529 6.7631
F 4.0850 -1.9593 3.8622
F 3.2090 4.9439 0.8386
F 6.4657 6.6187 2.0622
F -2.7155 2.8493 7.3823
F 2.1218 9.2845 4.7009
F -2.7155 -5.2928 11.6147
F 7.5528 12.1338 0.2343
F 1.6284 1.8971 11.0103
F 1.1729 1.2529 6.7631
F 6.0102 1.8101 1.4579
F 1.6663 4.8816 7.9867
F 8.0083 -1.0554 2.2965
F -1.6663 -0.9040 5.6902
Ba 6.0466 5.9859 4.4434
Ba 7.2560 0.0000 0.0000
Ba 3.6280 2.5654 1.4811
Ba 3.6280 10.2615 2.9622
Ba 1.2093 4.2756 10.3678
Ba 8.4653 -0.8551 7.4056
Ba 4.8373 6.8410 0.0000
Ba -3.6280 7.6961 4.4434
Ba 6.0466 -4.2756 10.3678
Ba 6.0466 3.4205 8.8867
Ba 1.2093 -3.4205 8.8867
Ba -1.2093 0.8551 7.4056
Ba 4.8373 -3.4205 5.9245
Ba -1.2093 11.1166 1.4811
Ba 0.0000 0.0000 0.0000
Ba -2.4187 6.8410 0.0000
Ba -4.8373 3.4205 5.9245
Ba 2.4187 3.4205 5.9245
Ba -2.4187 -3.4205 5.9245
Ba -1.2093 3.4205 2.9622
Cs 3.6280 0.0000 8.8867
Cs 6.0466 0.8551 4.4434
Cs -3.6280 2.5654 10.3678
Cs 8.4653 4.2756 1.4811
Cs 3.6280 7.6961 7.4056
Cs 10.8840 0.0000 2.9622
Cs -6.0466 6.8410 8.8867
Cs 1.2093 -0.8551 4.4434
Cs -3.6280 -2.5654 10.3678
Cs -1.2093 5.9859 7.4056
Cs 8.4653 9.4064 1.4811
Cs 1.2093 6.8410 2.9622
```

Record 7
Below is an optimized crystal structure of Pr2Sm5Th, with properties calculated at the PBE level.

Values from the calculation:
total moment: 0.0 μB per formula unit
energy: -80.6 eV per cell
space-group type: No. 55
formation enthalpy at 0 K: 0.3 eV/f.u.
crystal system: orthorhombic

Structure (extended XYZ):
```
16
Lattice="-1.5645 0.9224 -4.8567 -5.2069 -5.0176 0.7244 -9.1535 10.2043 4.8866" Properties=species:S:1:pos:R:3 pbc="T T T"
Sm -7.1802 2.5933 2.8055
Sm -6.8651 7.6186 3.6584
Sm -5.7594 -2.0159 -1.2955
Sm -7.4952 -2.4319 1.9526
Sm -9.5018 5.1470 4.0383
Sm -5.5011 3.1073 -0.4057
Sm 0.0000 0.0000 0.0000
Sm -10.1655 8.1250 2.0498
Sm -10.4237 3.0018 1.1600
Sm -4.8585 0.0397 1.5726
Th -2.6034 -2.5088 0.3622
Th -4.5767 5.1021 2.4433
Pr -8.1622 0.5282 -0.0383
Pr -3.2277 0.4383 -1.6449
Pr -12.6971 5.6707 2.3992
Pr -7.7626 5.5808 0.7926
```

Record 8
Below is an optimized crystal structure of Pr2MgRh3, with properties calculated at the PBE level.

Values from the calculation:
total moment: 0.0 μB per formula unit
energy: -35.3 eV per cell
space-group type: No. 71
formation enthalpy at 0 K: -2.1 eV/f.u.
crystal system: orthorhombic

Structure (extended XYZ):
```
6
Lattice="-2.0379 -3.6336 1.9393 3.8362 -0.0360 3.9640 -3.8131 4.9894 -0.1031" Properties=species:S:1:pos:R:3 pbc="T T T"
Rh 0.1337 -1.0061 3.6999
Rh 0.0000 0.0000 0.0000
Rh -2.1485 2.3260 2.1003
Pr -2.0723 -0.6765 1.9993
Pr 0.0575 1.9964 3.8009
Mg 1.9181 -0.0180 1.9820
```

Record 9
Below is an optimized crystal structure of Th6MnSe12, with properties calculated at the PBE level.

Values from the calculation:
uncorrected formation energy: -1.53 eV/atom
total moment: 4.9 μB per formula unit
energy: -124.6 eV per cell
space-group type: No. 148
crystal system: trigonal

Structure (extended XYZ):
```
19
Lattice="8.3520 -0.1048 -0.1255 -1.3698 8.2396 -0.1255 -1.3698 -1.5959 8.0845" Properties=species:S:1:pos:R:3 pbc="T T T"
Th 0.9410 4.3698 6.8879
Th -0.1718 4.6998 2.3031
Th 5.7842 1.8391 5.5303
Th 4.6715 2.1691 0.9455
Th 4.1767 6.4925 2.7978
Th 1.4358 0.0464 5.0357
Se 3.9370 0.7148 3.3804
Se 6.8315 -0.8803 5.4231
Se 3.0480 2.1626 6.5261
Se 1.6755 5.8241 4.4530
Se 1.2185 -1.0464 7.7305
Se 7.5183 2.3859 0.3518
Se 2.5644 4.3763 1.3073
Se 5.5028 3.9276 3.2939
Se 4.3939 7.5853 0.1029
Se -1.2191 7.4192 2.4104
Se -1.9059 4.1530 7.4816
Se 0.1096 2.6112 4.5395
Mn 0.0000 0.0000 0.0000
```

Record 10
Below is an optimized crystal structure of SiSnW2Br, with properties calculated at the PBE level.

Values from the calculation:
uncorrected formation energy: 2.30 eV/atom
total moment: 0.0 μB per formula unit
energy: -25.5 eV per cell
space-group type: No. 123
crystal system: tetragonal

Structure (extended XYZ):
```
5
Lattice="4.6267 0.0000 0.0000 0.0000 5.5567 0.0000 0.0000 0.0000 4.6267" Properties=species:S:1:pos:R:3 pbc="T T T"
Si 2.3133 2.7784 2.3133
W 0.0000 0.0000 2.3133
W 2.3133 0.0000 0.0000
Br 0.0000 0.0000 0.0000
Sn 0.0000 2.7784 0.0000
```

Record 11
Below is an optimized crystal structure of Cd2CuB2Pt5, with properties calculated at the PBE level.

Values from the calculation:
total moment: 0.0 μB per formula unit
energy: -103.2 eV per cell
space-group type: No. 127
formation enthalpy at 0 K: -2.1 eV/f.u.
crystal system: tetragonal

Structure (extended XYZ):
```
20
Lattice="-0.9661 -2.8431 -0.9416 5.7059 0.5858 -7.6230 7.0623 -4.0475 4.9752" Properties=species:S:1:pos:R:3 pbc="T T T"
Pt 5.4468 -4.5515 2.8960
Pt 3.0481 -3.4453 2.0168
Pt 7.8281 -3.9883 -1.2478
Pt 3.9740 -2.3165 -2.3416
Pt 2.3699 -1.1287 -4.2823
Pt 6.6453 -2.7437 -3.7923
Pt 6.3554 -1.7533 -6.4854
Pt 1.2447 -1.5765 -1.7756
Pt 5.1568 -3.5611 0.2029
Pt 10.5575 -4.7283 -1.8138
Cd 9.4779 -2.2606 -2.8986
Cd 3.2903 -1.2011 0.2508
Cd 7.6483 -3.1400 1.6338
Cd 5.1200 -0.3217 -4.2816
Cu 0.0000 0.0000 0.0000
Cu 6.3841 -1.7309 -1.3239
B 3.0256 -0.2970 -2.2077
B 5.1567 -2.4644 2.1505
B 9.7426 -3.1647 -0.4401
B 7.6116 -0.9973 -4.7983
```

Record 12
Below is an optimized crystal structure of InIrCl, with properties calculated at the PBE level.

Values from the calculation:
uncorrected formation energy: 0.24 eV/atom
total moment: 0.0 μB per formula unit
energy: -12.7 eV per cell
space-group type: No. 156
crystal system: trigonal

Structure (extended XYZ):
```
3
Lattice="3.2924 0.0000 0.0000 -1.6462 2.8513 0.0000 0.0000 0.0000 6.5387" Properties=species:S:1:pos:R:3 pbc="T T T"
Cl 0.0000 0.0000 0.2614
Ir 0.0000 1.9008 4.0582
In 1.6462 0.9504 2.2190
```